Compound: ThMg2Cu4
Source: Alexandria
Functional: PBE-GGA
Structure: relaxed Values from VASP.

Structure (Quantum ESPRESSO input):
```
&SYSTEM
  ibrav = 0, nat = 7, ntyp = 3
/
ATOMIC_SPECIES
Cu 63.55 Cu.upf
Mg 24.30 Mg.upf
Th 232.04 Th.upf
ATOMIC_POSITIONS crystal
Cu 0.073 0.573 0.146
Cu 0.649 0.649 0.298
Cu 0.351 0.351 0.702
Cu 0.927 0.427 0.854
Mg 0.194 0.194 0.388
Mg 0.806 0.806 0.612
Th 0.500 0.000 0.000
CELL_PARAMETERS angstrom
-2.648 -3.392 0.337
2.289 -1.599 1.886
-3.342 5.961 6.100
```

formation energy = -0.09 eV/atom
calculated total energy = -3.94 eV per atom

***

Compound: ThMg3Cu8
Source: Alexandria
Functional: PBE-GGA
Structure: relaxed Values from VASP.

Structure (Quantum ESPRESSO input):
```
&SYSTEM
  ibrav = 0, nat = 12, ntyp = 3
/
ATOMIC_SPECIES
Mg 24.30 Mg.upf
Cu 63.55 Cu.upf
Th 232.04 Th.upf
ATOMIC_POSITIONS crystal
Mg 0.000 0.000 0.961
Mg 0.667 0.333 0.053
Mg 0.667 0.333 0.403
Cu 0.166 0.333 0.246
Cu 0.166 0.834 0.246
Cu 0.333 0.667 0.497
Cu 0.502 0.005 0.760
Cu 0.667 0.834 0.246
Cu 0.333 0.667 0.999
Cu 0.502 0.498 0.760
Cu 0.995 0.498 0.760
Th 0.000 0.000 0.569
CELL_PARAMETERS angstrom
-0.471 -0.851 4.989
4.418 -0.935 -2.331
2.478 7.809 1.566
```

formation energy = -0.14 eV/atom
calculated total energy = -3.89 eV per atom

***

Compound: ThMgCu17
Source: Alexandria
Functional: PBE-GGA
Structure: relaxed Values from VASP.

Structure (Quantum ESPRESSO input):
```
&SYSTEM
  ibrav = 0, nat = 19, ntyp = 3
/
ATOMIC_SPECIES
Cu 63.55 Cu.upf
Mg 24.30 Mg.upf
Th 232.04 Th.upf
ATOMIC_POSITIONS crystal
Cu 0.003 0.700 0.296
Cu 0.003 0.296 0.700
Cu 0.161 0.649 0.649
Cu 0.700 0.003 0.296
Cu 0.296 0.003 0.700
Cu 0.906 0.906 0.906
Cu 0.997 0.997 0.501
Cu 0.344 0.344 0.853
Cu 0.853 0.344 0.344
Cu 0.296 0.700 0.003
Cu 0.700 0.296 0.003
Cu 0.344 0.853 0.344
Cu 0.102 0.102 0.102
Cu 0.649 0.649 0.161
Cu 0.649 0.161 0.649
Cu 0.997 0.501 0.997
Cu 0.501 0.997 0.997
Mg 0.339 0.339 0.339
Th 0.660 0.660 0.660
CELL_PARAMETERS angstrom
-5.934 -1.985 1.538
-0.672 -4.298 -4.753
1.739 -5.210 3.369
```

formation energy = -0.04 eV/atom
calculated total energy = -4.18 eV per atom

***

Compound: ThMgCu2
Source: Alexandria
Functional: PBE-GGA
Structure: relaxed Values from VASP.

Structure (Quantum ESPRESSO input):
```
&SYSTEM
  ibrav = 0, nat = 4, ntyp = 3
/
ATOMIC_SPECIES
Th 232.04 Th.upf
Cu 63.55 Cu.upf
Mg 24.30 Mg.upf
ATOMIC_POSITIONS crystal
Th 0.500 0.500 0.500
Cu 0.000 0.000 0.500
Cu 0.000 0.500 0.000
Mg 0.500 0.000 0.000
CELL_PARAMETERS angstrom
3.339 0.000 0.000
0.000 4.914 0.000
0.000 0.000 4.914
```

formation energy = 0.00 eV/atom
calculated total energy = -4.31 eV per atom

***

Compound: ThMgCu2
Source: Alexandria
Functional: PBE-GGA
Structure: relaxed Values from VASP.

Structure (Quantum ESPRESSO input):
```
&SYSTEM
  ibrav = 0, nat = 4, ntyp = 3
/
ATOMIC_SPECIES
Cu 63.55 Cu.upf
Th 232.04 Th.upf
Mg 24.30 Mg.upf
ATOMIC_POSITIONS crystal
Cu 0.000 0.000 0.209
Cu 0.000 0.000 0.791
Th 0.500 0.500 0.500
Mg 0.500 0.500 0.000
CELL_PARAMETERS angstrom
-1.766 1.714 2.203
-2.767 -0.732 -1.649
-0.782 -5.813 3.894
```

formation energy = -0.06 eV/atom
calculated total energy = -4.36 eV per atom

***

Compound: Th2Mg3Cu4
Source: Alexandria
Functional: PBE-GGA
Structure: relaxed Values from VASP.

Structure (Quantum ESPRESSO input):
```
&SYSTEM
  ibrav = 0, nat = 18, ntyp = 3
/
ATOMIC_SPECIES
Cu 63.55 Cu.upf
Mg 24.30 Mg.upf
Th 232.04 Th.upf
ATOMIC_POSITIONS crystal
Cu 0.339 0.483 0.678
Cu 0.818 0.250 0.136
Cu 0.182 0.750 0.864
Cu 0.661 0.517 0.322
Cu 0.161 0.983 0.322
Cu 0.682 0.750 0.864
Cu 0.839 0.017 0.678
Cu 0.318 0.250 0.136
Mg 0.018 0.750 0.536
Mg 0.518 0.750 0.536
Mg 0.500 0.500 0.000
Mg 0.982 0.250 0.464
Mg 0.482 0.250 0.464
Mg 0.000 0.000 0.000
Th 0.899 0.407 0.799
Th 0.101 0.593 0.201
Th 0.399 0.093 0.799
Th 0.601 0.907 0.201
CELL_PARAMETERS angstrom
5.957 0.000 0.000
0.000 7.279 0.000
-2.978 0.000 8.254
```

formation energy = -0.05 eV/atom
calculated total energy = -4.05 eV per atom

***

Compound: ThMg6Cu6
Source: Alexandria
Functional: PBE-GGA
Structure: relaxed Values from VASP.

Structure (Quantum ESPRESSO input):
```
&SYSTEM
  ibrav = 0, nat = 13, ntyp = 3
/
ATOMIC_SPECIES
Mg 24.30 Mg.upf
Cu 63.55 Cu.upf
Th 232.04 Th.upf
ATOMIC_POSITIONS crystal
Mg 0.652 0.348 0.348
Mg 0.302 0.198 0.198
Mg 0.000 0.341 0.659
Mg 0.698 0.802 0.802
Mg 0.000 0.659 0.341
Mg 0.348 0.652 0.652
Cu 0.000 0.000 0.500
Cu 0.500 0.000 0.500
Cu 0.500 0.221 0.779
Cu 0.000 0.500 0.000
Cu 0.500 0.779 0.221
Cu 0.500 0.500 0.000
Th 0.000 0.000 0.000
CELL_PARAMETERS angstrom
4.843 0.000 1.936
2.386 6.564 1.057
-0.015 -0.061 7.063
```

formation energy = -0.08 eV/atom
calculated total energy = -3.28 eV per atom

***

Compound: ThMgCu10
Source: Alexandria
Functional: PBE-GGA
Structure: relaxed Values from VASP.

Structure (Quantum ESPRESSO input):
```
&SYSTEM
  ibrav = 0, nat = 12, ntyp = 3
/
ATOMIC_SPECIES
Cu 63.55 Cu.upf
Th 232.04 Th.upf
Mg 24.30 Mg.upf
ATOMIC_POSITIONS crystal
Cu 0.500 0.251 0.752
Cu 0.500 0.500 0.000
Cu 0.500 0.251 0.248
Cu 0.000 0.000 0.683
Cu 0.000 0.500 0.155
Cu 0.500 0.749 0.248
Cu 0.000 0.000 0.317
Cu 0.500 0.000 0.500
Cu 0.000 0.500 0.845
Cu 0.500 0.749 0.752
Th 0.000 0.500 0.500
Mg 0.000 0.000 0.000
CELL_PARAMETERS angstrom
-0.082 1.583 3.809
0.620 -4.585 1.919
8.539 1.049 -0.253
```

formation energy = -0.09 eV/atom
calculated total energy = -4.25 eV per atom

***

Compound: ThMgTlCu
Source: Alexandria
Functional: PBE-GGA
Structure: relaxed Values from VASP.

Structure (Quantum ESPRESSO input):
```
&SYSTEM
  ibrav = 0, nat = 4, ntyp = 4
/
ATOMIC_SPECIES
Cu 63.55 Cu.upf
Th 232.04 Th.upf
Mg 24.30 Mg.upf
Tl 204.38 Tl.upf
ATOMIC_POSITIONS crystal
Cu 0.250 0.250 0.250
Th 0.000 0.000 0.000
Mg 0.500 0.500 0.500
Tl 0.750 0.750 0.750
CELL_PARAMETERS angstrom
-2.723 -2.146 3.760
-1.705 -4.796 -0.494
2.044 -3.744 2.821
```

formation energy = -0.06 eV/atom
calculated total energy = -3.93 eV per atom

***

Compound: TmThMgCu
Source: Alexandria
Functional: PBE-GGA
Structure: relaxed Values from VASP.

Structure (Quantum ESPRESSO input):
```
&SYSTEM
  ibrav = 0, nat = 4, ntyp = 4
/
ATOMIC_SPECIES
Tm 168.93 Tm.upf
Th 232.04 Th.upf
Cu 63.55 Cu.upf
Mg 24.30 Mg.upf
ATOMIC_POSITIONS crystal
Tm 0.500 0.500 0.500
Th 0.000 0.000 0.000
Cu 0.250 0.250 0.250
Mg 0.750 0.750 0.750
CELL_PARAMETERS angstrom
-4.725 0.725 1.959
-0.695 0.044 5.119
-1.145 4.422 2.413
```

formation energy = 0.04 eV/atom
calculated total energy = -4.36 eV per atom

***

no.,total magnetization (μB per formula unit)
1,0.00
2,0.00
3,0.00
4,0.00
5,0.00
6,0.00
7,0.00
8,0.00
9,0.00
10,0.01